{"formula": "LaAlOs2", "functional": "PBE", "state": "optimized geometry", "lattice": [[-1.987, 1.987, 4.643], [1.987, -1.987, 4.643], [1.987, 1.987, -4.643]], "species": ["La", "Al", "Os", "Os"], "fractional_positions": [[0.000, 0.000, 0.000], [0.750, 0.250, 0.500], [0.250, 0.750, 0.500], [0.500, 0.500, 0.000]], "relative_energy_ev_per_fu": 1.89}